1.
DFT (meta-GGA SCAN) results for CaCeMg14 at its PBEsol-relaxed geometry.

Values from the calculation:
formation enthalpy at 0 K: 0.039 eV/atom
calculated total energy: -123.2 eV per cell

Lattice parameters (Å, degrees): 10.4407 6.5300 6.5300 60.85 90.00 90.00
Last column: nearest neighbours and their distance in Å.
Fractional coordinates of all 16 atoms:
Ca  0.0000  0.0000  0.0000  10 Mg 3.24-3.32, 2 Ce 3.31
Ce  0.0000  0.5100  0.5100  10 Mg 3.21-3.34, 2 Ca 3.31
Mg  0.0000  0.0116  0.4903  8 Mg 3.17-3.45, 2 Ce 3.21-3.32, 2 Ca 3.24-3.29
Mg  0.0000  0.4903  0.0116  8 Mg 3.17-3.45, 2 Ce 3.21-3.32, 2 Ca 3.24-3.29
Mg  0.2500  0.8176  0.8176  11 Mg 3.20-3.34, 1 Ca 3.32
Mg  0.2514  0.3269  0.3269  11 Mg 3.18-3.31, 1 Ce 3.34
Mg  0.2630  0.3249  0.8252  10 Mg 3.12-3.39, 1 Ce 3.29, 1 Ca 3.31
Mg  0.2630  0.8252  0.3249  10 Mg 3.12-3.39, 1 Ce 3.29, 1 Ca 3.31
Mg  0.5000  0.4913  0.4913  12 Mg 3.12-3.31
Mg  0.5000  0.4911  0.9965  12 Mg 3.12-3.34
Mg  0.5000  0.9876  0.9876  12 Mg 3.13-3.32
Mg  0.5000  0.9965  0.4911  12 Mg 3.12-3.34
Mg  0.7370  0.3249  0.8252  10 Mg 3.12-3.39, 1 Ce 3.29, 1 Ca 3.31
Mg  0.7370  0.8252  0.3249  10 Mg 3.12-3.39, 1 Ce 3.29, 1 Ca 3.31
Mg  0.7486  0.3269  0.3269  11 Mg 3.18-3.31, 1 Ce 3.34
Mg  0.7500  0.8176  0.8176  11 Mg 3.20-3.34, 1 Ca 3.32

=====

2.
DFT (meta-GGA SCAN) results for TcBiI2N at its PBEsol-relaxed geometry.

Values from the calculation:
uncorrected formation energy: 0.43 eV/atom
calculated total energy: -194.3 eV per cell

Lattice parameters (Å, degrees): 5.5620 5.5620 3.7419 90.00 90.00 90.00
Last column: nearest neighbours and their distance in Å.
Fractional coordinates of all 5 atoms:
Tc  0.0000  0.0000  0.0000  2 N 1.87
Bi  0.5000  0.5000  0.5000  8 I 3.35, 2 Bi 3.74
I  0.0000  0.5000  0.0000  2 Tc 2.78
I  0.5000  0.0000  0.0000  2 Tc 2.78
N  0.0000  0.0000  0.5000  2 Tc 1.87

=====

3.
DFT (meta-GGA SCAN) results for BeRe2AgF at its PBEsol-relaxed geometry.

Values from the calculation:
uncorrected formation energy: 0.94 eV/atom
calculated total energy: -176.8 eV per cell

Lattice parameters (Å, degrees): 4.8952 4.8952 2.8160 90.00 90.00 90.00
Last column: nearest neighbours and their distance in Å.
Fractional coordinates of all 5 atoms:
Be  0.0000  0.0000  0.0000  2 F 1.41
Re  0.0000  0.5000  0.0000  2 Be 2.45
Re  0.5000  0.0000  0.0000  2 Be 2.45
Ag  0.5000  0.5000  0.5000  2 Ag 2.82, 8 Re 2.82
F  0.0000  0.0000  0.5000  2 Be 1.41

=====

4.
DFT (meta-GGA SCAN) results for CsZnNiOs2 at its PBEsol-relaxed geometry.

Values from the calculation:
formation enthalpy at 0 K: 1.670 eV/atom
calculated total energy: -202.9 eV per cell

Lattice parameters (Å, degrees): 4.6293 4.6293 4.6519 90.00 90.00 90.00
Last column: nearest neighbours and their distance in Å.
Fractional coordinates of all 5 atoms:
Cs  0.0000  0.0000  0.0000  4 Zn 3.27, 8 Os 3.28
Zn  0.5000  0.5000  0.0000  2 Ni 2.33
Ni  0.5000  0.5000  0.5000  4 Os 2.31, 2 Zn 2.33
Os  0.0000  0.5000  0.5000  2 Ni 2.31
Os  0.5000  0.0000  0.5000  2 Ni 2.31

=====

5.
DFT (meta-GGA SCAN) results for Ni2MoW at its PBEsol-relaxed geometry.

Values from the calculation:
formation enthalpy at 0 K: 0.260 eV/atom
calculated total energy: -135.9 eV per cell

Lattice parameters (Å, degrees): 4.4836 4.4836 2.5886 90.00 90.00 90.00
Last column: nearest neighbours and their distance in Å.
Fractional coordinates of all 4 atoms:
Ni  0.0000  0.5000  0.0000  2 Ni 2.59, 4 W 2.59, 4 Mo 2.59
Ni  0.5000  0.0000  0.0000  2 Ni 2.59, 4 W 2.59, 4 Mo 2.59
Mo  0.0000  0.0000  0.5000  2 Mo 2.59, 8 Ni 2.59
W  0.5000  0.5000  0.5000  2 W 2.59, 8 Ni 2.59

=====

6.
DFT (meta-GGA SCAN) results for YGe3Sb at its PBEsol-relaxed geometry.

Values from the calculation:
uncorrected formation energy: 0.87 eV/atom
calculated total energy: -118.0 eV per cell

Lattice parameters (Å, degrees): 5.2796 5.2796 5.2796 90.00 90.00 90.00
Last column: nearest neighbours and their distance in Å.
Fractional coordinates of all 5 atoms:
Y  0.0000  0.0000  0.0000  6 Ge 2.64
Ge  0.0000  0.0000  0.5000  2 Y 2.64
Ge  0.0000  0.5000  0.0000  2 Y 2.64
Ge  0.5000  0.0000  0.0000  2 Y 2.64
Sb  0.5000  0.5000  0.5000  12 Ge 3.73

=====

7.
DFT (meta-GGA SCAN) results for IrC2I at its PBEsol-relaxed geometry.

Values from the calculation:
uncorrected formation energy: 1.42 eV/atom
calculated total energy: -244.7 eV per cell

Lattice parameters (Å, degrees): 6.0865 6.0865 6.0865 60.00 60.00 60.00
Last column: nearest neighbours and their distance in Å.
Fractional coordinates of all 8 atoms:
Ir  0.1250  0.1250  0.1250  4 C 1.86
Ir  0.8750  0.8750  0.8750  4 C 1.86
C  0.0000  0.0000  0.0000  2 Ir 1.86
C  0.0000  0.0000  0.5000  2 Ir 1.86
C  0.0000  0.5000  0.0000  2 Ir 1.86
C  0.5000  0.0000  0.0000  2 Ir 1.86
I  0.3750  0.3750  0.3750  12 C 3.57, 4 I 3.73, 4 Ir 3.73
I  0.6250  0.6250  0.6250  12 C 3.57, 4 Ir 3.73, 4 I 3.73

=====

8.
DFT (meta-GGA SCAN) results for CaLa3Ir at its PBEsol-relaxed geometry.

Values from the calculation:
formation enthalpy at 0 K: -0.448 eV/atom
calculated total energy: -424.6 eV per cell

Lattice parameters (Å, degrees): 6.7719 6.9983 7.7151 86.42 69.76 79.07
Last column: nearest neighbours and their distance in Å.
Fractional coordinates of all 10 atoms:
Ca  0.2479  0.1073  0.1788  1 Ir 2.87
Ca  0.7521  0.8927  0.8212  1 Ir 2.87
La  0.2392  0.6024  0.9794  1 Ir 2.77
La  0.2443  0.6241  0.4608  2 Ir 2.78-2.87
La  0.2592  0.1129  0.6890  2 Ir 2.79-2.83
La  0.7408  0.8871  0.3110  2 Ir 2.79-2.83
La  0.7557  0.3759  0.5392  2 Ir 2.78-2.87
La  0.7608  0.3976  0.0206  1 Ir 2.77
Ir  0.5003  0.2620  0.3484  5 La 2.77-2.87, 1 Ca 2.87
Ir  0.4997  0.7380  0.6516  5 La 2.77-2.87, 1 Ca 2.87